This record from the Alexandria database describes a relaxed Sm7In4Pb crystal. The functional is GGA-PBE.

a = 7.9057 Å, b = 7.9057 Å, c = 9.4737 Å
α = 115.57°, β = 115.57°, γ = 44.33°
With the nearest neighbours (Å) after each atom.
Positions (direct):
Sm  0.0000  0.0000  0.0000  2 Pb 2.98, 4 In 3.10-3.28
Sm  0.2527  0.2527  0.7225  4 In 3.08-3.27, 1 Sm 3.28, 1 Pb 3.34
Sm  0.3191  0.3191  0.1316  3 In 3.39-3.65, 1 Pb 3.41, 4 Sm 3.46-3.64
Sm  0.4229  0.4229  0.5893  3 In 3.18-3.29, 3 Sm 3.28-3.46, 1 Pb 3.51
Sm  0.5771  0.5771  0.4107  3 In 3.18-3.29, 3 Sm 3.28-3.46, 1 Pb 3.51
Sm  0.6809  0.6809  0.8684  3 In 3.39-3.65, 1 Pb 3.41, 4 Sm 3.46-3.64
Sm  0.7473  0.7473  0.2775  4 In 3.08-3.27, 1 Sm 3.28, 1 Pb 3.34
In  0.0307  0.0307  0.6780  2 In 3.06-3.07, 4 Sm 3.08-3.29
In  0.1842  0.1842  0.3412  1 In 3.07, 6 Sm 3.10-3.39
In  0.8158  0.8158  0.6588  1 In 3.07, 6 Sm 3.10-3.39
In  0.9693  0.9693  0.3220  2 In 3.06-3.07, 4 Sm 3.08-3.29
Pb  0.5000  0.5000  0.0000  4 Sm 2.98-3.34

Energy of formation from the pure elements in meV/atom: -258
Symmetry: C2/m (12)

=====

This record from the Alexandria database describes a relaxed CdFeMo2 crystal. The functional is GGA-PBE.

a = 3.2153 Å, b = 3.2153 Å, c = 6.2307 Å
α = 90.00°, β = 90.00°, γ = 90.00°
With the nearest neighbours (Å) after each atom.
Positions (direct):
Cd  0.0000  0.0000  0.0000  4 Fe 2.80, 5 Mo 2.95-2.98
Fe  0.5000  0.5000  0.2634  5 Mo 2.64-2.71, 4 Cd 2.80
Mo  0.0000  0.0000  0.4785  4 Fe 2.64, 4 Mo 2.65
Mo  0.5000  0.5000  0.6981  4 Mo 2.65, 1 Fe 2.71, 4 Cd 2.95

Energy of formation from the pure elements in meV/atom: 339
Symmetry: P4mm (99)

=====

This record from the Alexandria database describes a relaxed RbSCl2O crystal. The functional is GGA-PBE.

a = 6.3100 Å, b = 6.3100 Å, c = 3.3553 Å
α = 90.00°, β = 90.00°, γ = 90.00°
With the nearest neighbours (Å) after each atom.
Positions (direct):
Rb  0.0000  0.0000  0.0000  2 Rb 3.36, 8 Cl 3.57
S  0.5000  0.5000  0.0000  2 O 1.68
Cl  0.0000  0.5000  0.5000  2 O 3.15, 2 Cl 3.36
Cl  0.5000  0.0000  0.5000  2 O 3.15, 2 Cl 3.36
O  0.5000  0.5000  0.5000  2 S 1.68

ΔE to the lowest computed polymorph in eV/atom: 0.000
Energy relative to the elements, uncorrected in eV per atom: -0.46
Symmetry: P4/mmm (123)

=====

This record from the Alexandria database describes a relaxed FeSe crystal. The functional is GGA-PBE.

a = 3.5175 Å, b = 11.8611 Å, c = 5.5667 Å
α = 90.00°, β = 90.00°, γ = 90.00°
With the nearest neighbours (Å) after each atom.
Positions (direct):
Fe  0.2500  0.0756  0.0447  4 Se 2.30-2.32, 2 Fe 2.56
Fe  0.2500  0.4244  0.0447  4 Se 2.30-2.32, 2 Fe 2.56
Fe  0.2500  0.7500  0.4958  4 Se 2.32-2.36
Fe  0.7500  0.2500  0.5042  4 Se 2.32-2.36
Fe  0.7500  0.5756  0.9553  4 Se 2.30-2.32, 2 Fe 2.56
Fe  0.7500  0.9244  0.9553  4 Se 2.30-2.32, 2 Fe 2.56
Se  0.2500  0.2500  0.2321  4 Fe 2.32
Se  0.2500  0.6000  0.2179  4 Fe 2.30-2.36
Se  0.2500  0.9000  0.2179  4 Fe 2.30-2.36
Se  0.7500  0.1000  0.7821  4 Fe 2.30-2.36
Se  0.7500  0.4000  0.7821  4 Fe 2.30-2.36
Se  0.7500  0.7500  0.7679  4 Fe 2.32

Energy relative to the elements, uncorrected in eV per atom: 0.01
Symmetry: Pmmn (59)

=====

Number 1: Fermi-level density of states 13.5 states/eV/f.u.. Number 2: Fermi-level density of states 4.1 states/eV/f.u.. Number 3: Fermi-level density of states 6.1 states/eV/f.u.. Number 4: Fermi-level density of states 2.8 states/eV/f.u..